[1]
Below is an optimized crystal structure of Sr3Se3Cl2O8, with properties calculated at the PBE level.

Cell lengths 11.6713, 5.5970, 17.9520 Å; angles 90.00, 90.00, 90.00 degrees
With the nearest neighbours (Å) after each atom.
Space group Pnma (No. 62)
Unique sites:
Sr (0.0359, 0.2500, 0.1978)  8 O 2.63-2.94
Sr (0.1273, 0.7500, 0.5776)  5 O 2.56-2.60
Sr (0.1327, 0.7500, 0.0145)  6 O 2.59-2.71
Se (0.0554, 0.7500, 0.3322)  3 O 1.69-1.87
Se (0.1317, 0.2500, 0.8989)  3 O 1.72-1.74
Se (0.2430, 0.7500, 0.1913)  3 O 1.70-1.88
Cl (0.1020, 0.2500, 0.5023)  4 Sr 3.04-3.12
Cl (0.2435, 0.7500, 0.8019)  2 Sr 3.18-3.26, 4 O 3.42-3.46, 4 Se 3.44-3.54
O (0.0312, 0.0097, 0.6768)  1 Se 1.69
O (0.0373, 0.0143, 0.9137)  1 Se 1.74
O (0.0942, 0.7500, 0.2312)  2 Se 1.87-1.88
O (0.2054, 0.2500, 0.9819)  1 Se 1.72
O (0.2150, 0.5170, 0.1329)  1 Se 1.70

## Properties
DOS at the Fermi energy (states/eV per cell): 0.00
M_tot (μB per atom): 0.0000


[2]
Below is an optimized crystal structure of Tb5Se2Cl3O10, with properties calculated at the PBE level.

Cell lengths 12.2287, 5.5134, 9.9521 Å; angles 90.00, 91.69, 90.00 degrees
With the nearest neighbours (Å) after each atom.
Space group C2/m (No. 12)
Unique sites:
Tb (0.0000, 0.0000, 0.0000)  8 O 2.34-2.51
Tb (0.0951, 0.5000, 0.7658)  5 O 2.21-2.42
Tb (0.2143, 0.5000, 0.1028)  4 O 2.26-2.29
Se (0.0963, 0.0000, 0.3168)  3 O 1.68-1.78
Cl (0.0000, 0.5000, 0.5000)  2 Tb 2.86
Cl (0.1565, 0.0000, 0.6537)  3 Tb 2.85-3.08, 4 O 3.11-3.19, 1 Se 3.11
O (0.0609, 0.2386, 0.2033)  1 Se 1.78
O (0.1434, 0.2551, 0.9406)  4 Tb 2.26-2.34
O (0.2319, 0.0000, 0.2931)  1 Se 1.68

## Properties
DOS at the Fermi energy (states/eV per cell): 0.00
M_tot (μB per atom): 0.0000


no.,formation energy from raw total energies (kJ/mol of formula units)
1,-2805
2,-4998